The following is a PBE calculation of a relaxed ReHgOs3 crystal, from the Alexandria database.

Computed properties:
E above lowest polymorph, meV/atom: 0
Energy of formation from the pure elements, eV per atom: 2.201
Symmetry: No. 221

Unit cell a=4.730 b=4.730 c=4.730 alpha=90.00 beta=90.00 gamma=90.00
Fractional coordinates of all 5 atoms:
1 Re 0.000 0.000 0.000
2 Os 0.000 0.500 0.000
3 Os 0.000 0.000 0.500
4 Os 0.500 0.000 0.000
5 Hg 0.500 0.500 0.500

---

The following is a PBE calculation of a relaxed ReHg2Os crystal, from the Alexandria database.

Computed properties:
E above lowest polymorph, meV/atom: 805
Energy of formation from the pure elements, eV per atom: 1.193
Symmetry: No. 65

Unit cell a=5.215 b=5.215 c=2.908 alpha=90.00 beta=90.00 gamma=116.88
Fractional coordinates of all 4 atoms:
1 Hg 0.000 0.000 0.000
2 Hg 0.500 0.500 0.000
3 Os 0.500 0.000 0.500
4 Re 0.000 0.500 0.500

---

The following is a PBE calculation of a relaxed ReHg2Os crystal, from the Alexandria database.

Computed properties:
E above lowest polymorph, meV/atom: 1180
Energy of formation from the pure elements, eV per atom: 1.568
Symmetry: No. 122

Unit cell a=7.656 b=7.656 c=6.032 alpha=50.61 beta=50.61 gamma=90.00
Fractional coordinates of all 8 atoms:
1 Re 0.500 0.500 0.000
2 Re 0.250 0.750 0.500
3 Os 0.000 0.000 0.000
4 Os 0.750 0.250 0.500
5 Hg 0.628 0.125 0.250
6 Hg 0.122 0.625 0.250
7 Hg 0.375 0.372 0.750
8 Hg 0.875 0.878 0.750

---

The following is a PBE calculation of a relaxed ReHg2Os crystal, from the Alexandria database.

Computed properties:
E above lowest polymorph, meV/atom: 678
Energy of formation from the pure elements, eV per atom: 1.066
Symmetry: No. 119

Unit cell a=4.872 b=4.872 c=4.872 alpha=128.13 beta=128.13 gamma=76.41
Fractional coordinates of all 4 atoms:
1 Hg 0.000 0.000 0.000
2 Hg 0.250 0.750 0.500
3 Os 0.500 0.500 0.000
4 Re 0.750 0.250 0.500

---

The following is a PBE calculation of a relaxed ReHgOs2 crystal, from the Alexandria database.

Computed properties:
Energy of formation from the pure elements, eV per atom: 0.368
Symmetry: No. 166

Unit cell a=9.534 b=9.534 c=9.534 alpha=16.93 beta=16.93 gamma=16.93
Fractional coordinates of all 4 atoms:
1 Hg 0.750 0.750 0.750
2 Os 0.992 0.992 0.992
3 Os 0.508 0.508 0.508
4 Re 0.250 0.250 0.250

---

The following is a PBE calculation of a relaxed ReHg4Os crystal, from the Alexandria database.

Computed properties:
Energy of formation from the pure elements, eV per atom: 1.493
Symmetry: No. 216

Unit cell a=5.526 b=5.526 c=5.526 alpha=60.00 beta=60.00 gamma=60.00
Fractional coordinates of all 6 atoms:
1 Re 0.000 0.000 0.000
2 Hg 0.875 0.375 0.375
3 Hg 0.375 0.375 0.875
4 Hg 0.375 0.875 0.375
5 Hg 0.375 0.375 0.375
6 Os 0.750 0.750 0.750

---

The following is a PBE calculation of a relaxed ReHg2Os crystal, from the Alexandria database.

Computed properties:
E above lowest polymorph, meV/atom: 215
Energy of formation from the pure elements, eV per atom: 0.603
Symmetry: No. 8

Unit cell a=3.676 b=3.676 c=9.243 alpha=73.98 beta=73.98 gamma=45.19
Fractional coordinates of all 4 atoms:
1 Hg 0.012 0.012 0.022
2 Hg 0.739 0.739 0.728
3 Os 0.473 0.473 0.455
4 Re 0.276 0.276 0.295

---

The following is a PBE calculation of a relaxed ReHg2Os crystal, from the Alexandria database.

Computed properties:
E above lowest polymorph, meV/atom: 619
Energy of formation from the pure elements, eV per atom: 1.007
Symmetry: No. 47

Unit cell a=2.868 b=4.958 c=4.966 alpha=90.00 beta=90.00 gamma=90.00
Fractional coordinates of all 4 atoms:
1 Hg 0.000 0.000 0.000
2 Hg 0.500 0.500 0.000
3 Os 0.500 0.000 0.500
4 Re 0.000 0.500 0.500

---

The following is a PBE calculation of a relaxed ReHg2Os crystal, from the Alexandria database.

Computed properties:
E above lowest polymorph, meV/atom: 578
Energy of formation from the pure elements, eV per atom: 0.966
Symmetry: No. 12

Unit cell a=5.031 b=5.031 c=4.996 alpha=80.10 beta=80.10 gamma=33.85
Fractional coordinates of all 4 atoms:
1 Hg 0.001 0.001 0.999
2 Hg 0.499 0.499 0.501
3 Os 0.750 0.750 0.750
4 Re 0.250 0.250 0.250

---

The following is a PBE calculation of a relaxed ReHgOs2Rh crystal, from the Alexandria database.

Computed properties:
Energy of formation from the pure elements, eV per atom: 1.841
Symmetry: No. 123

Unit cell a=4.729 b=4.734 c=4.729 alpha=90.00 beta=90.00 gamma=90.00
Fractional coordinates of all 5 atoms:
1 Re 0.000 0.000 0.000
2 Os 0.000 0.000 0.500
3 Os 0.500 0.000 0.000
4 Hg 0.500 0.500 0.500
5 Rh 0.000 0.500 0.000

---

The following is a PBE calculation of a relaxed ReHgSb2Os crystal, from the Alexandria database.

Computed properties:
Raw total energy, eV/atom: -5.168
Symmetry: No. 123

Unit cell a=5.118 b=4.964 c=5.118 alpha=90.00 beta=90.00 gamma=90.00
Fractional coordinates of all 5 atoms:
1 Re 0.000 0.500 0.000
2 Os 0.000 0.000 0.000
3 Hg 0.500 0.500 0.500
4 Sb 0.000 0.000 0.500
5 Sb 0.500 0.000 0.000

---

The following is a PBE calculation of a relaxed ReSnHgOs2 crystal, from the Alexandria database.

Computed properties:
Energy of formation from the pure elements, eV per atom: 2.932
Symmetry: No. 123

Unit cell a=4.934 b=4.927 c=4.934 alpha=90.00 beta=90.00 gamma=90.00
Fractional coordinates of all 5 atoms:
1 Re 0.000 0.500 0.000
2 Os 0.000 0.000 0.500
3 Os 0.500 0.000 0.000
4 Hg 0.000 0.000 0.000
5 Sn 0.500 0.500 0.500